A geometry-optimized Pr3GeTeBr structure, computed with PBE-GGA.

The structure in POSCAR format:
```
Pr3GeTeBr
1.0
9.081 0.000 0.000
0.000 4.337 0.000
-0.236 0.000 10.550
Pr Ge Te Br
6 2 2 2
Direct
0.108 0.250 0.358
0.148 0.250 0.917
0.360 0.750 0.636
0.640 0.250 0.364
0.852 0.750 0.083
0.892 0.750 0.642
0.127 0.250 0.643
0.873 0.750 0.357
0.373 0.750 0.332
0.627 0.250 0.668
0.369 0.750 0.926
0.631 0.250 0.074
```

Results
The total DFT energy (no corrections) is -60.86 eV per cell. The uncorrected formation energy is -6.66 eV/f.u. As for the calculated volume: 415.5 Å³ per cell. The value obtained for the total moment is 1.37 μB/f.u.

A geometry-optimized Ca2AlAs structure, computed with PBE-GGA.

The structure in POSCAR format:
```
Ca2AlAs
1.0
3.599 0.000 0.000
0.000 3.599 0.000
0.000 0.000 8.314
Ca Al As
2 1 1
Direct
0.000 0.000 0.000
0.500 0.500 0.381
0.000 0.000 0.634
0.500 0.500 0.759
```

Results
The formation energy is -0.363 eV/atom. The calculation puts the energy above the most stable polymorph in this dataset at 0.3233 eV per atom. The total DFT energy (no corrections) is -13.85 eV per cell. As for the calculated volume: 107.7 Å³ per cell. The value obtained for the total moment is 0.00 μB/f.u.

A geometry-optimized LaTaCu structure, computed with PBE-GGA.

The structure in POSCAR format:
```
LaTaCu
1.0
6.688 0.000 0.000
0.000 6.688 0.000
0.000 0.000 6.688
La Ta Cu
4 4 4
Direct
0.000 0.000 0.000
0.000 0.500 0.500
0.500 0.000 0.500
0.500 0.500 0.000
0.250 0.250 0.250
0.250 0.750 0.750
0.750 0.250 0.750
0.750 0.750 0.250
0.250 0.250 0.750
0.250 0.750 0.250
0.750 0.250 0.250
0.750 0.750 0.750
```

Results
The formation energy is 1.466 eV/atom. The calculation puts the energy above the most stable polymorph in this dataset at 1.2074 eV per atom. The total DFT energy (no corrections) is -65.92 eV per cell. As for the calculated volume: 299.2 Å³ per cell. The value obtained for the total moment is 1.17 μB/f.u.

A geometry-optimized TmInGaRh structure, computed with PBE-GGA.

The structure in POSCAR format:
```
TmInGaRh
1.0
6.748 0.000 0.000
0.000 6.748 0.000
0.000 0.000 6.748
Tm In Ga Rh
4 4 4 4
Direct
0.000 0.000 0.000
0.000 0.500 0.500
0.500 0.000 0.500
0.500 0.500 0.000
0.000 0.000 0.500
0.000 0.500 0.000
0.500 0.000 0.000
0.500 0.500 0.500
0.250 0.250 0.250
0.250 0.750 0.750
0.750 0.250 0.750
0.750 0.750 0.250
0.250 0.250 0.750
0.250 0.750 0.250
0.750 0.250 0.250
0.750 0.750 0.750
```

Results
The formation energy is -0.496 eV/atom. The total DFT energy (no corrections) is -78.29 eV per cell. As for the calculated volume: 307.3 Å³ per cell. The value obtained for the total moment is 0.00 μB/f.u.